[1]
Density functional theory data (GGA-PBE) for a geometry-optimized LiHoMgCo structure.

```
data_LiHoMgCo
_chemical_formula_sum 'Li1 Ho1 Mg1 Co1'
_space_group_name_H-M_alt 'P 1'
_space_group_IT_number 1
_space_group_name_Hall 'P 1'
_cell_length_a 4.671
_cell_length_b 4.671
_cell_length_c 4.671
_cell_angle_alpha 60.00
_cell_angle_beta 60.00
_cell_angle_gamma 60.00
loop_
_atom_site_label
_atom_site_fract_x
_atom_site_fract_y
_atom_site_fract_z
Li1 0.000 0.000 0.000
Co1 0.500 0.500 0.500
Ho1 0.750 0.750 0.750
Mg1 0.250 0.250 0.250
```

Computed properties:
* E_form: 0.00 eV/atom
* volume: 72.1 Å³ per cell
* crystal system: cubic

---

[2]
Density functional theory data (GGA-PBE) for a geometry-optimized LiNdHoCo structure.

```
data_LiNdHoCo
_chemical_formula_sum 'Li1 Nd1 Ho1 Co1'
_space_group_name_H-M_alt 'P 1'
_space_group_IT_number 1
_space_group_name_Hall 'P 1'
_cell_length_a 4.937
_cell_length_b 4.937
_cell_length_c 4.937
_cell_angle_alpha 60.00
_cell_angle_beta 60.00
_cell_angle_gamma 60.00
loop_
_atom_site_label
_atom_site_fract_x
_atom_site_fract_y
_atom_site_fract_z
Nd1 0.750 0.750 0.750
Ho1 0.250 0.250 0.250
Co1 0.000 0.000 0.000
Li1 0.500 0.500 0.500
```

Computed properties:
* E_form: -0.02 eV/atom
* volume: 85.1 Å³ per cell
* crystal system: cubic